PBE Pr2Tm2Ni, optimized geometry; space-group type = No. 194; magnetic moment = 0.01 μB per formula unit; formation enthalpy at 0 K = 0.040 eV/atom; crystal system = hexagonal
1.0
5.4319 0.0000 0.0000
-2.7160 4.7042 0.0000
0.0000 0.0000 10.7514
Pr Ni Tm
4 2 4
Cartesian
0.0000 3.1361 4.3372
0.0000 3.1361 1.0385
2.7160 1.5681 6.4142
2.7160 1.5681 9.7130
0.0000 0.0000 8.0636
0.0000 0.0000 2.6879
0.0000 3.1361 8.0636
0.0000 0.0000 5.3757
0.0000 0.0000 0.0000
2.7160 1.5681 2.6879

---

PBE PrTmNi4, optimized geometry; space-group type = No. 191; magnetic moment = 0.01 μB per formula unit; formation enthalpy at 0 K = -0.067 eV/atom; crystal system = hexagonal; distance to the lowest polymorph of the same formula = 315 meV/atom
1.0
-4.0754 -0.6380 3.5606
4.0513 -3.6397 -0.1834
4.0771 4.2643 5.4307
Ni Tm Pr
8 2 2
Cartesian
3.1278 1.1453 5.8710
1.1022 2.9652 5.9627
5.1656 1.4643 4.0907
-1.3665 -1.6386 2.3125
1.3423 -2.6391 1.0646
0.9250 -1.1587 2.9368
2.9628 -0.8397 1.1566
-1.1006 0.6612 3.0286
3.3808 -0.5069 3.7800
0.6721 0.4936 5.0279
2.0385 2.1322 2.7153
0.0000 0.0000 0.0000

---

PBE PrTmNi, optimized geometry; space-group type = No. 216; magnetic moment = 0.00 μB per formula unit; formation enthalpy at 0 K = -0.109 eV/atom; crystal system = cubic; distance to the lowest polymorph of the same formula = 0 meV/atom
1.0
0.0000 3.3813 3.3813
3.3813 0.0000 3.3813
3.3813 3.3813 0.0000
Pr Ni Tm
1 1 1
Cartesian
1.6907 1.6907 1.6907
0.0000 0.0000 0.0000
5.0720 5.0720 5.0720